## AcEr2Mg (GGA-PBE)

Data for a geometry-optimized AcEr2Mg structure.

The structure in extended XYZ format:
```
4
Lattice="0.0000 4.0063 4.0063 4.0063 0.0000 4.0063 4.0063 4.0063 0.0000" Properties=species:S:1:pos:R:3 pbc="T T T"
Ac 0.0000 0.0000 0.0000
Er 2.0032 2.0032 2.0032
Er 6.0095 6.0095 6.0095
Mg 4.0063 4.0063 4.0063
```

Results
relative energy among the computed polymorphs: 0.629 eV per formula unit
volume: 32.15 Å³/atom


## AcEr2Mg (GGA-PBE)

Data for a geometry-optimized AcEr2Mg structure.

The structure in extended XYZ format:
```
4
Lattice="4.9955 0.0000 0.0000 0.0000 4.9955 0.0000 0.0000 0.0000 5.2053" Properties=species:S:1:pos:R:3 pbc="T T T"
Ac 0.0000 0.0000 0.0000
Er 0.0000 2.4977 2.6026
Er 2.4977 0.0000 2.6026
Mg 2.4977 2.4977 0.0000
```

Results
relative energy among the computed polymorphs: 0.256 eV per formula unit
volume: 32.47 Å³/atom


## AcEr2Mg9 (GGA-PBE)

Data for a geometry-optimized AcEr2Mg9 structure.

The structure in extended XYZ format:
```
12
Lattice="3.0567 1.7648 9.8071 -3.0567 1.7648 9.8071 0.0000 -3.5295 9.8071" Properties=species:S:1:pos:R:3 pbc="T T T"
Ac 0.0000 0.0000 0.0000
Er 0.0000 0.0000 4.3053
Er 0.0000 0.0000 25.1161
Mg -1.5566 -0.8987 12.3319
Mg 0.0000 0.0000 9.8339
Mg 0.0000 -1.7974 17.0895
Mg -1.5566 0.8987 17.0895
Mg 0.0000 0.0000 14.7107
Mg 1.5566 -0.8987 12.3319
Mg 0.0000 1.7974 12.3319
Mg 0.0000 0.0000 19.5875
Mg 1.5566 0.8987 17.0895
```

Results
volume: 26.45 Å³/atom


## Ac2ErMg16 (GGA-PBE)

Data for a geometry-optimized Ac2ErMg16 structure.

The structure in extended XYZ format:
```
19
Lattice="5.2731 3.0444 5.1593 -5.2731 3.0444 5.1593 0.0000 -6.0889 5.1593" Properties=species:S:1:pos:R:3 pbc="T T T"
Ac 0.0000 0.0000 0.0000
Ac 0.0000 0.0000 5.0470
Er 0.0000 0.0000 8.7661
Mg 0.0000 -2.9735 2.6936
Mg -2.5751 1.4867 2.6936
Mg -2.6637 -1.5379 7.6308
Mg 0.0000 -3.0631 7.3811
Mg -2.6527 1.5315 7.3811
Mg -1.5663 -2.6992 10.2096
Mg -3.1208 -0.0069 10.2096
Mg 2.5751 1.4867 2.6936
Mg 1.5663 -2.6992 10.2096
Mg -1.5544 2.7061 10.2096
Mg 2.6637 -1.5379 7.6308
Mg 0.0000 3.0758 7.6308
Mg 0.0000 0.0000 11.9175
Mg 2.6527 1.5316 7.3811
Mg 3.1208 -0.0069 10.2096
Mg 1.5544 2.7061 10.2096
```

Results
volume: 26.16 Å³/atom


## AcEr2Mg (GGA-PBE)

Data for a geometry-optimized AcEr2Mg structure.

The structure in extended XYZ format:
```
4
Lattice="1.7658 1.0195 12.3036 -1.7658 1.0195 12.3036 0.0000 -2.0390 12.3036" Properties=species:S:1:pos:R:3 pbc="T T T"
Ac 0.0000 0.0000 0.0000
Er 0.0000 0.0000 3.5460
Er 0.0000 0.0000 33.3649
Mg 0.0000 0.0000 18.4554
```

Results
relative energy among the computed polymorphs: 0.924 eV per formula unit
volume: 33.22 Å³/atom


## Ac3ErMg2 (GGA-PBE)

Data for a geometry-optimized Ac3ErMg2 structure.

The structure in extended XYZ format:
```
6
Lattice="4.0737 0.0000 0.0000 0.0000 4.0737 0.0000 0.0000 0.0000 12.9895" Properties=species:S:1:pos:R:3 pbc="T T T"
Ac 0.0000 0.0000 0.0000
Ac 0.0000 0.0000 4.1450
Ac 0.0000 0.0000 8.8444
Er 2.0369 2.0369 6.4947
Mg 2.0369 2.0369 2.1034
Mg 2.0369 2.0369 10.8860
```

Results
volume: 35.93 Å³/atom


## AcErMg6 (GGA-PBE)

Data for a geometry-optimized AcErMg6 structure.

The structure in extended XYZ format:
```
8
Lattice="5.1803 0.0000 0.0000 0.0000 3.7561 5.6250 0.0000 -3.7561 5.6250" Properties=species:S:1:pos:R:3 pbc="T T T"
Ac 0.0000 0.0000 0.0000
Er 2.5901 0.0000 2.9803
Mg 0.0000 0.0000 5.0921
Mg 0.0000 -1.5873 8.2081
Mg 0.0000 1.5873 8.2081
Mg 2.5901 -1.5400 6.0033
Mg 2.5901 1.5400 6.0033
Mg 2.5901 0.0000 8.9337
```

Results
volume: 27.36 Å³/atom


## AcErMg (GGA-PBE)

Data for a geometry-optimized AcErMg structure.

The structure in extended XYZ format:
```
3
Lattice="-1.9558 1.9558 6.4908 1.9558 -1.9558 6.4908 1.9558 1.9558 -6.4908" Properties=species:S:1:pos:R:3 pbc="T T T"
Ac 0.0000 0.0000 0.0000
Er 0.0000 0.0000 4.0073
Mg 0.0000 0.0000 8.7735
```

Results
relative energy among the computed polymorphs: 0.000 eV per formula unit
volume: 33.10 Å³/atom


## Ac2ErMg (GGA-PBE)

Data for a geometry-optimized Ac2ErMg structure.

The structure in extended XYZ format:
```
4
Lattice="1.8668 1.0778 12.9959 -1.8668 1.0778 12.9959 0.0000 -2.1556 12.9959" Properties=species:S:1:pos:R:3 pbc="T T T"
Ac 0.0000 0.0000 3.5267
Ac 0.0000 0.0000 35.4611
Er 0.0000 0.0000 19.4939
Mg 0.0000 0.0000 0.0000
```

Results
relative energy among the computed polymorphs: 1.007 eV per formula unit
volume: 39.22 Å³/atom


## Ac2ErMg (GGA-PBE)

Data for a geometry-optimized Ac2ErMg structure.

The structure in extended XYZ format:
```
4
Lattice="5.9967 0.0000 0.0000 0.0000 5.9967 0.0000 0.0000 0.0000 4.0222" Properties=species:S:1:pos:R:3 pbc="T T T"
Ac 0.0000 2.9984 0.0000
Ac 2.9984 0.0000 0.0000
Er 0.0000 0.0000 2.0111
Mg 2.9984 2.9984 2.0111
```

Results
relative energy among the computed polymorphs: 0.014 eV per formula unit
volume: 36.16 Å³/atom


## AcEr3Mg2 (GGA-PBE)

Data for a geometry-optimized AcEr3Mg2 structure.

The structure in extended XYZ format:
```
6
Lattice="3.7800 0.0000 0.0000 0.0000 3.7800 0.0000 0.0000 0.0000 12.7150" Properties=species:S:1:pos:R:3 pbc="T T T"
Ac 0.0000 0.0000 0.0000
Er 1.8900 1.8900 2.6210
Er 1.8900 1.8900 6.3575
Er 1.8900 1.8900 10.0940
Mg 0.0000 0.0000 4.5003
Mg 0.0000 0.0000 8.2147
```

Results
volume: 30.28 Å³/atom


## AcErMg17 (GGA-PBE)

Data for a geometry-optimized AcErMg17 structure.

The structure in extended XYZ format:
```
19
Lattice="5.1623 2.9804 5.1013 -5.1623 2.9804 5.1013 0.0000 -5.9609 5.1013" Properties=species:S:1:pos:R:3 pbc="T T T"
Ac 0.0000 0.0000 0.0000
Er 0.0000 0.0000 5.1804
Mg 0.0000 -2.8108 2.7638
Mg -2.4342 1.4054 2.7638
Mg -2.6332 -1.5203 7.6762
Mg 0.0000 -2.9383 7.3972
Mg -2.5447 1.4692 7.3972
Mg -1.5203 -2.7098 10.1984
Mg -3.1069 0.0383 10.1984
Mg 2.4342 1.4054 2.7638
Mg 0.0000 0.0000 8.6507
Mg 1.5203 -2.7098 10.1984
Mg -1.5866 2.6715 10.1984
Mg 2.6332 -1.5203 7.6762
Mg 0.0000 3.0406 7.6762
Mg 0.0000 0.0000 11.6577
Mg 2.5447 1.4692 7.3972
Mg 3.1069 0.0383 10.1984
Mg 1.5866 2.6715 10.1984
```

Results
volume: 24.79 Å³/atom


## AcEr2Mg (GGA-PBE)

Data for a geometry-optimized AcEr2Mg structure.

The structure in extended XYZ format:
```
4
Lattice="3.7827 0.0000 0.0000 0.0000 3.7827 0.0000 0.0000 0.0000 8.9443" Properties=species:S:1:pos:R:3 pbc="T T T"
Ac 0.0000 0.0000 0.0000
Er 1.8914 1.8914 2.6127
Er 1.8914 1.8914 6.3317
Mg 0.0000 0.0000 4.4722
```

Results
relative energy among the computed polymorphs: 0.000 eV per formula unit
volume: 32.00 Å³/atom


## Ac4ErMg5 (GGA-PBE)

Data for a geometry-optimized Ac4ErMg5 structure.

The structure in extended XYZ format:
```
10
Lattice="4.0440 0.0000 0.0000 0.0000 4.0440 0.0000 0.0000 0.0000 20.2657" Properties=species:S:1:pos:R:3 pbc="T T T"
Ac 0.0000 0.0000 2.1071
Ac 0.0000 0.0000 6.3007
Ac 0.0000 0.0000 13.9650
Ac 0.0000 0.0000 18.1586
Er 0.0000 0.0000 10.1329
Mg 2.0220 2.0220 0.0000
Mg 2.0220 2.0220 4.1940
Mg 2.0220 2.0220 8.4563
Mg 2.0220 2.0220 11.8094
Mg 2.0220 2.0220 16.0717
```

Results
volume: 33.14 Å³/atom


## Ac3ErMg4 (GGA-PBE)

Data for a geometry-optimized Ac3ErMg4 structure.

The structure in extended XYZ format:
```
8
Lattice="4.0195 0.0000 0.0000 0.0000 4.0195 0.0000 0.0000 0.0000 16.1990" Properties=species:S:1:pos:R:3 pbc="T T T"
Ac 0.0000 0.0000 0.0000
Ac 0.0000 0.0000 4.2468
Ac 0.0000 0.0000 11.9522
Er 0.0000 0.0000 8.0995
Mg 2.0098 2.0098 2.1038
Mg 2.0098 2.0098 6.4186
Mg 2.0098 2.0098 9.7804
Mg 2.0098 2.0098 14.0952
```

Results
volume: 32.71 Å³/atom


## Ac2ErMg (GGA-PBE)

Data for a geometry-optimized Ac2ErMg structure.

The structure in extended XYZ format:
```
4
Lattice="0.0000 4.1608 4.1608 4.1608 0.0000 4.1608 4.1608 4.1608 0.0000" Properties=species:S:1:pos:R:3 pbc="T T T"
Ac 2.0804 2.0804 2.0804
Ac 6.2411 6.2411 6.2411
Er 0.0000 0.0000 0.0000
Mg 4.1608 4.1608 4.1608
```

Results
relative energy among the computed polymorphs: 0.078 eV per formula unit
volume: 36.02 Å³/atom


## AcErMg (GGA-PBE)

Data for a geometry-optimized AcErMg structure.

The structure in extended XYZ format:
```
6
Lattice="5.5019 -6.0136 0.0000 5.5019 6.0136 0.0000 0.0000 0.0000 3.6508" Properties=species:S:1:pos:R:3 pbc="T T T"
Ac 5.5019 3.2370 0.0000
Ac 5.5019 -3.2370 0.0000
Er 3.0079 0.0000 1.8254
Er 7.9959 0.0000 1.8254
Mg 0.0000 0.0000 1.8254
Mg 5.5019 0.0000 0.0000
```

Results
relative energy among the computed polymorphs: 1.624 eV per formula unit
volume: 40.26 Å³/atom


## AcEr3Mg8 (GGA-PBE)

Data for a geometry-optimized AcEr3Mg8 structure.

The structure in extended XYZ format:
```
12
Lattice="6.1117 0.0000 0.0000 -3.0558 5.2929 0.0000 0.0000 0.0000 9.8970" Properties=species:S:1:pos:R:3 pbc="T T T"
Ac 0.0000 0.0000 0.0000
Er 0.0000 0.0000 3.7593
Er 3.0558 1.7643 4.8847
Er 3.0558 1.7643 8.4966
Mg 0.0000 1.7345 6.7126
Mg -1.5537 4.4256 6.7126
Mg 0.0000 3.5286 4.2902
Mg 0.0000 3.5286 9.2269
Mg 3.0558 0.0466 1.8820
Mg 1.5682 2.6231 1.8820
Mg 1.5537 4.4256 6.7126
Mg 4.5434 2.6231 1.8820
```

Results
volume: 26.68 Å³/atom


## Ac5ErMg6 (GGA-PBE)

Data for a geometry-optimized Ac5ErMg6 structure.

The structure in extended XYZ format:
```
12
Lattice="-2.8622 4.0725 8.5969 2.8622 -4.0725 8.5969 2.8622 4.0725 -8.5969" Properties=species:S:1:pos:R:3 pbc="T T T"
Ac 0.0000 0.0000 0.0000
Ac 2.8622 0.0000 2.8557
Ac 0.0000 0.0000 5.6861
Ac 0.0000 0.0000 11.5077
Ac 0.0000 4.0725 5.7413
Er 0.0000 4.0725 0.0000
Mg 2.8622 -1.9480 5.8445
Mg 2.8622 2.2071 0.0000
Mg 0.0000 2.1245 2.7524
Mg 2.8622 1.9480 5.8445
Mg 0.0000 1.8654 8.5969
Mg 0.0000 6.0206 2.7524
```

Results
volume: 33.40 Å³/atom


## Ac4ErMg3 (GGA-PBE)

Data for a geometry-optimized Ac4ErMg3 structure.

The structure in extended XYZ format:
```
8
Lattice="4.0526 0.0000 0.0000 0.0000 5.9243 0.0000 0.0000 0.0000 11.8635" Properties=species:S:1:pos:R:3 pbc="T T T"
Ac 0.0000 0.0000 0.0000
Ac 0.0000 0.0000 5.9318
Ac 0.0000 2.9622 2.9071
Ac 0.0000 2.9622 8.9564
Er 2.0263 2.9622 5.9318
Mg 2.0263 0.0000 2.9917
Mg 2.0263 0.0000 8.8718
Mg 2.0263 2.9622 0.0000
```

Results
volume: 35.60 Å³/atom


## Ac3ErMg8 (GGA-PBE)

Data for a geometry-optimized Ac3ErMg8 structure.

The structure in extended XYZ format:
```
12
Lattice="3.1375 1.8115 10.2488 -3.1375 1.8115 10.2488 0.0000 -3.6229 10.2488" Properties=species:S:1:pos:R:3 pbc="T T T"
Ac 0.0000 0.0000 0.0000
Ac 0.0000 0.0000 3.8796
Ac 0.0000 0.0000 19.1538
Er 0.0000 0.0000 15.3542
Mg 0.0000 -1.8086 6.9864
Mg -1.5663 0.9043 6.9864
Mg -1.5501 -0.8950 12.2201
Mg 0.0000 0.0000 9.6089
Mg 1.5663 0.9043 6.9865
Mg 1.5501 -0.8950 12.2201
Mg 0.0000 1.7899 12.2201
Mg 0.0000 0.0000 24.9798
```

Results
volume: 29.12 Å³/atom


## Ac4ErMg (GGA-PBE)

Data for a geometry-optimized Ac4ErMg structure.

The structure in extended XYZ format:
```
6
Lattice="3.9642 0.0000 0.0000 0.0000 3.9642 0.0000 0.0000 0.0000 14.9339" Properties=species:S:1:pos:R:3 pbc="T T T"
Ac 0.0000 0.0000 2.2160
Ac 0.0000 0.0000 12.7179
Ac 1.9821 1.9821 5.0034
Ac 1.9821 1.9821 9.9305
Er 0.0000 0.0000 7.4670
Mg 1.9821 1.9821 0.0000
```

Results
volume: 39.11 Å³/atom


## AcErMgOs (GGA-PBE)

Data for a geometry-optimized AcErMgOs structure.

The structure in extended XYZ format:
```
4
Lattice="0.0000 3.6793 3.6793 3.6793 0.0000 3.6793 3.6793 3.6793 0.0000" Properties=species:S:1:pos:R:3 pbc="T T T"
Ac 0.0000 0.0000 0.0000
Er 3.6793 3.6793 3.6793
Mg 5.5190 5.5190 5.5190
Os 1.8397 1.8397 1.8397
```

Results
volume: 24.90 Å³/atom


## AcErMgPb2 (GGA-PBE)

Data for a geometry-optimized AcErMgPb2 structure.

The structure in extended XYZ format:
```
10
Lattice="3.3600 -7.4434 0.0000 3.3600 7.4434 0.0000 0.0000 0.0000 6.5248" Properties=species:S:1:pos:R:3 pbc="T T T"
Ac 3.3600 3.7217 5.0235
Ac 3.3600 -3.7217 1.5013
Er 1.6800 0.0000 3.2624
Er 5.0400 0.0000 3.2624
Mg 0.0000 0.0000 0.0000
Mg 3.3600 0.0000 0.0000
Pb 3.3600 5.2517 1.7945
Pb 3.3600 2.1916 1.7945
Pb 3.3600 -2.1916 4.7303
Pb 3.3600 -5.2517 4.7303
```

Results
volume: 32.64 Å³/atom


## AcErMgPb (GGA-PBE)

Data for a geometry-optimized AcErMgPb structure.

The structure in extended XYZ format:
```
4
Lattice="0.0000 3.9582 3.9582 3.9582 0.0000 3.9582 3.9582 3.9582 0.0000" Properties=species:S:1:pos:R:3 pbc="T T T"
Ac 0.0000 0.0000 0.0000
Er 3.9582 3.9582 3.9582
Mg 5.9373 5.9373 5.9373
Pb 1.9791 1.9791 1.9791
```

Results
volume: 31.01 Å³/atom


no.,E (Ry/atom),ΔE_f (kJ per mole of atoms),size of the total moment (μB/cell)
1,-0.2602,16.1,0.00
2,-0.2671,7.1,0.00
3,-0.1736,-6.1,0.00
4,-0.1529,-6.2,0.00
5,-0.2548,23.2,0.00
6,-0.2475,-2.0,0.00
7,-0.1700,-3.2,0.00
8,-0.2519,-0.5,0.00
9,-0.2451,24.9,0.00
10,-0.2634,1.0,0.00
11,-0.2583,-1.6,0.00
12,-0.1412,-3.7,0.00
13,-0.2718,0.9,0.00
14,-0.2179,-6.5,0.00
15,-0.2184,-6.2,0.00
16,-0.2622,2.5,0.00
17,-0.2121,51.7,2.07
18,-0.1919,-6.2,0.00
19,-0.2172,-6.4,0.00
20,-0.2388,-2.6,0.00
21,-0.1885,-9.1,0.00
22,-0.2762,0.8,0.00
23,-0.3893,7.5,0.00
24,-0.2785,-24.4,0.00
25,-0.2733,-21.7,0.00